(1)
VASP calculation (GGA-PBE) on an optimized crystal structure of V2Fe4Re.

a = 6.8054 Å, b = 6.8054 Å, c = 6.8054 Å
α = 142.58°, β = 142.58°, γ = 53.95°
With the nearest neighbours (Å) after each atom.
Element x y z (fractional)
V1 0.1120 0.1120 0.0000  1 Fe 2.23
V2 0.8880 0.8880 0.0000  1 Fe 2.23
Fe1 0.0000 0.5000 0.5000  2 Re 2.18
Fe2 0.2960 0.2960 0.0000  1 V 2.23, 1 Re 2.47
Fe3 0.5000 0.0000 0.5000  2 Re 2.18
Fe4 0.7040 0.7040 0.0000  1 V 2.23, 1 Re 2.47
Re1 0.5000 0.5000 0.0000  4 Fe 2.18

Summary:
- Fermi-level density of states (states/eV/cell) = 9.093
- electronic total energy (eV/atom) = -8.03
- energy of formation (eV/atom) = 1.190

***

(2)
VASP calculation (GGA-PBE) on an optimized crystal structure of TcAsPS2.

a = 4.4570 Å, b = 4.4570 Å, c = 5.0283 Å
α = 90.00°, β = 90.00°, γ = 90.00°
With the nearest neighbours (Å) after each atom.
Element x y z (fractional)
Tc1 0.0000 0.0000 0.0000  4 S 2.23
As1 0.5000 0.5000 0.5000  4 P 3.15, 8 S 3.36
P1 0.0000 0.0000 0.5000  2 Tc 2.51
S1 0.0000 0.5000 0.0000  2 Tc 2.23
S2 0.5000 0.0000 0.0000  2 Tc 2.23

Summary:
- Fermi-level density of states (states/eV/cell) = 5.375
- electronic total energy (eV/atom) = -5.16
- ΔE_f (raw) (meV per atom) = 580
- E above lowest polymorph (meV/atom) = 0

***

(3)
VASP calculation (GGA-PBE) on an optimized crystal structure of CsLaSc2.

a = 12.6935 Å, b = 12.6935 Å, c = 12.6935 Å
α = 15.98°, β = 15.98°, γ = 15.98°
With the nearest neighbours (Å) after each atom.
Element x y z (fractional)
Cs1 0.0000 0.0000 0.0000  6 Cs 3.53, 2 Sc 3.54
La1 0.5000 0.5000 0.5000  6 Sc 3.41, 6 La 3.53
Sc1 0.0941 0.0941 0.0941  3 La 3.41, 6 Sc 3.53, 1 Cs 3.54
Sc2 0.9059 0.9059 0.9059  3 La 3.41, 6 Sc 3.53, 1 Cs 3.54

Summary:
- Fermi-level density of states (states/eV/cell) = 6.659
- electronic total energy (eV/atom) = -4.17
- energy of formation (eV/atom) = 0.442
- E above lowest polymorph (meV/atom) = 0

***

(4)
VASP calculation (GGA-PBE) on an optimized crystal structure of NiSe2Br.

a = 3.5225 Å, b = 6.4824 Å, c = 9.5679 Å
α = 99.74°, β = 100.32°, γ = 90.01°
With the nearest neighbours (Å) after each atom.
Element x y z (fractional)
Ni1 0.0000 0.0000 0.0000  3 Se 2.33-2.57, 2 Br 2.39
Ni2 0.3281 0.7418 0.6453  5 Se 2.36-2.42, 1 Br 2.42
Se1 0.4512 0.7888 0.8995  3 Ni 2.33-2.36
Se2 0.8127 0.9869 0.6136  1 Se 2.37, 2 Ni 2.42
Se3 0.8196 0.4855 0.6282  2 Ni 2.41, 1 Se 2.52
Se4 0.9121 0.2554 0.8190  2 Se 2.37-2.52, 1 Ni 2.57
Br1 0.1987 0.6719 0.3846  1 Ni 2.42
Br2 0.5736 0.1630 0.1508  2 Ni 2.39

Summary:
- Fermi-level density of states (states/eV/cell) = 2.316
- electronic total energy (eV/atom) = -3.81
- ΔE_f (raw) (meV per atom) = -205
- E above lowest polymorph (meV/atom) = 33